Record 1
A relaxed structure of Cd2Rh, computed with PBE.

Summary:
- Energy of formation: -86 meV/atom
- Space-group type: No. 141

a = 4.1153 Å, b = 4.1153 Å, c = 13.1313 Å
α = 99.02°, β = 99.02°, γ = 90.00°
Atoms (fractional coordinates):
1 Cd 0.2489 0.2489 0.4978
2 Cd 0.7511 0.7511 0.5022
3 Cd 0.4989 0.9989 0.9978
4 Cd 0.0011 0.5011 0.0022
5 Cd 0.4121 0.4121 0.8242
6 Cd 0.5879 0.5879 0.1758
7 Cd 0.6621 0.1621 0.3242
8 Cd 0.8379 0.3379 0.6758
9 Rh 0.0787 0.0787 0.1575
10 Rh 0.9213 0.9213 0.8425
11 Rh 0.3287 0.8287 0.6575
12 Rh 0.1713 0.6713 0.3425

=====

Record 2
A relaxed structure of NiPd, computed with PBE.

Summary:
- Energy of formation: 826 meV/atom
- Space-group type: No. 194

a = 4.1434 Å, b = 4.1434 Å, c = 4.9142 Å
α = 90.00°, β = 90.00°, γ = 120.00°
Site moments in Bohr magnetons follow the coordinates.
Atoms (fractional coordinates):
1 Ni 0.3333 0.6667 0.2500  0.45
2 Ni 0.6667 0.3333 0.7500  0.45
3 Pd 0.3333 0.6667 0.7500  0.15
4 Pd 0.6667 0.3333 0.2500  0.15

=====

Record 3
A relaxed structure of Ce2YErBi5, computed with PBE.

Summary:
- Energy of formation: -129 meV/atom
- Space-group type: No. 123

a = 5.4304 Å, b = 5.4304 Å, c = 11.8203 Å
α = 90.00°, β = 90.00°, γ = 90.00°
Site moments in Bohr magnetons follow the coordinates.
Atoms (fractional coordinates):
1 Ce 0.5000 0.5000 0.2837  1.00
2 Ce 0.5000 0.5000 0.7163  1.00
3 Y 0.0000 0.0000 0.0000  -0.02
4 Er 0.0000 0.0000 0.5000  -0.01
5 Bi 0.0000 0.5000 0.5000  -0.01
6 Bi 0.5000 0.0000 0.5000  -0.01
7 Bi 0.0000 0.0000 0.7526  -0.02
8 Bi 0.0000 0.0000 0.2474  -0.02
9 Bi 0.5000 0.5000 0.0000  -0.03

=====

Record 4
A relaxed structure of Mn2IrOs, computed with PBE.

Summary:
- E above lowest polymorph: 24 meV per atom
- Energy of formation: -90 meV/atom
- Space-group type: No. 10

a = 2.7100 Å, b = 4.6749 Å, c = 5.2895 Å
α = 53.71°, β = 90.00°, γ = 90.00°
Site moments in Bohr magnetons follow the coordinates.
Atoms (fractional coordinates):
1 Ir 0.0000 0.0000 0.5000  -0.08
2 Mn 0.0000 0.0000 0.0000  -2.62
3 Mn 0.5000 0.5000 0.0000  2.76
4 Os 0.5000 0.5000 0.5000  0.15

=====

no.,total magnetization (μB per cell),calculated total energy (eV per cell)
1,0.0,-37.8
2,1.2,-18.6
3,2.0,-43.5
4,0.2,-38.8